(1)
# LiVSe3

An optimized crystal structure of LiVSe3 (PBE, Alexandria).

```
10
Lattice="3.183 1.838 6.027 -3.183 1.838 6.027 0.000 -3.675 6.027" Properties=species:S:1:pos:R:3 pbc="T T T"
Li 0.000 0.000 2.751
Li 0.000 0.000 15.329
V 0.000 0.000 6.332
V 0.000 0.000 11.749
Se -1.179 -1.717 7.432
Se -2.076 0.163 10.649
Se -0.897 1.880 7.432
Se 0.897 -1.880 10.649
Se 2.076 -0.163 7.432
Se 1.179 1.717 10.649
```

* total energy: -4.9747 eV per atom
* energy relative to the lowest polymorph listed for this composition: 0.066 eV/atom
* N(E_F): 0.005 states/eV per atom
* ΔE_f (raw): -15.6 kcal/mol of atoms


(2)
# Al2ReAs

An optimized crystal structure of Al2ReAs (PBE, Alexandria).

```
4
Lattice="2.865 0.000 0.000 0.000 2.865 0.000 0.000 0.000 7.979" Properties=species:S:1:pos:R:3 pbc="T T T"
Al 0.000 0.000 1.723
Al 0.000 0.000 6.256
Re 1.432 1.432 0.000
As 1.432 1.432 3.990
```

* total energy: -6.0630 eV per atom
* energy relative to the lowest polymorph listed for this composition: 0.149 eV/atom
* N(E_F): 0.675 states/eV per atom
* E_form: 83 meV/atom


(3)
# MgScAlGa

An optimized crystal structure of MgScAlGa (PBE, Alexandria).

```
4
Lattice="4.135 0.000 0.000 0.000 4.228 0.000 0.000 0.000 4.232" Properties=species:S:1:pos:R:3 pbc="T T T"
Mg 0.000 0.000 0.000
Sc 0.000 2.114 2.116
Al 2.067 2.114 0.000
Ga 2.067 0.000 2.116
```

* total energy: -4.0710 eV per atom
* energy relative to the lowest polymorph listed for this composition: 0.000 eV/atom
* N(E_F): 0.468 states/eV per atom
* E_form: -397 meV/atom


(4)
# Sr6CdAu5

An optimized crystal structure of Sr6CdAu5 (PBE, Alexandria).

```
12
Lattice="5.469 0.000 0.000 0.000 7.770 0.000 -2.743 0.000 8.236" Properties=species:S:1:pos:R:3 pbc="T T T"
Sr 0.000 1.865 0.000
Sr 0.000 5.904 0.000
Sr -0.003 1.927 5.429
Sr -0.003 5.843 5.429
Sr 2.729 1.927 2.806
Sr 2.729 5.843 2.806
Cd 2.735 3.885 0.000
Au -0.008 3.885 2.603
Au -0.008 0.000 2.757
Au 2.735 0.000 0.000
Au 2.735 0.000 5.479
Au 2.734 3.885 5.633
```

* total energy: -2.9349 eV per atom
* N(E_F): 0.807 states/eV per atom
* E_form: -652 meV/atom


(5)
# TlCd2Au

An optimized crystal structure of TlCd2Au (PBE, Alexandria).

```
8
Lattice="4.587 0.000 0.000 0.000 4.587 0.000 0.000 0.000 8.672" Properties=species:S:1:pos:R:3 pbc="T T T"
Tl 0.000 0.000 0.000
Tl 2.293 2.293 4.336
Cd 0.000 2.293 2.168
Cd 0.000 2.293 6.504
Cd 2.293 0.000 2.168
Cd 2.293 0.000 6.504
Au 0.000 0.000 4.336
Au 2.293 2.293 0.000
```

* total energy: -1.8558 eV per atom
* energy relative to the lowest polymorph listed for this composition: 0.104 eV/atom
* N(E_F): 0.291 states/eV per atom
* E_form: 13 meV/atom


(6)
# Ba3ErPd2O9

An optimized crystal structure of Ba3ErPd2O9 (PBE, Alexandria).

```
15
Lattice="5.882 0.000 0.000 -2.941 5.094 0.000 0.000 0.000 7.262" Properties=species:S:1:pos:R:3 pbc="T T T"
Ba 0.000 0.000 0.000
Ba 0.000 3.396 4.957
Ba 2.941 1.698 2.305
Er 0.000 0.000 3.631
Pd 0.000 3.396 1.204
Pd 2.941 1.698 6.058
O -1.471 2.547 0.000
O 0.000 1.772 2.346
O -1.407 4.208 2.346
O 1.534 0.886 4.916
O 2.941 0.000 0.000
O 1.471 2.547 0.000
O 1.407 4.208 2.346
O 4.348 0.886 4.916
O 2.941 3.323 4.916
```

* total energy: -6.2014 eV per atom
* N(E_F): 1.041 states/eV per atom
* ΔE_f (raw): -42.6 kcal/mol of atoms